(1)
A geometry-optimized LiZrTl2 structure, computed with PBE-GGA.

The structure in extended XYZ format:
```
4
Lattice="5.3203 -0.0004 0.0000 -0.8288 5.2554 0.0000 0.0000 0.0000 3.2267" Properties=species:S:1:pos:R:3 pbc="T T T"
Zr 2.6602 -0.0002 1.6133
Li -0.4144 2.6277 1.6133
Tl 0.0000 0.0000 0.0000
Tl 2.2458 2.6275 0.0000
```

Computed properties:
* energy of formation: -121 meV/atom
* raw total energy: -15.68 eV for the cell shown
* DOS at the Fermi energy: 3.11 states/eV per cell
* symmetry: Cmmm
* magnetic moment: 0.05 μB/f.u.



(2)
A geometry-optimized LiZrTl structure, computed with PBE-GGA.

The structure in extended XYZ format:
```
6
Lattice="-3.0560 3.5311 -8.8033 -1.4957 -2.7627 -5.2540 -1.3990 1.5231 5.7617" Properties=species:S:1:pos:R:3 pbc="T T T"
Tl -3.6385 1.2308 -7.7214
Li -1.5283 -1.0122 -1.1654
Zr -1.6367 -1.9866 -4.1630
Tl -2.3699 2.4921 2.5918
Li -3.5055 2.1644 -4.6832
Zr -2.5693 1.7323 -0.4004
```

Computed properties:
* energy above the lowest structure with this stoichiometry: 0.45 eV/f.u.
* energy of formation: 5 meV/atom
* raw total energy: -25.63 eV for the cell shown
* DOS at the Fermi energy: 1.11 states/eV per cell
* symmetry: Cm
* magnetic moment: 0.00 μB/f.u.



(3)
A geometry-optimized LiZrTl structure, computed with PBE-GGA.

The structure in extended XYZ format:
```
6
Lattice="3.2058 0.0343 -0.2266 1.5166 6.6218 -0.1883 0.5273 -1.4058 6.3414" Properties=species:S:1:pos:R:3 pbc="T T T"
Zr 2.8326 -0.0182 5.5283
Li 4.2995 2.6995 4.2316
Li 2.5607 5.0092 3.1104
Tl 2.5571 0.8300 2.5978
Tl 2.3102 5.4642 0.0137
Zr 4.0232 3.0558 0.9707
```

Computed properties:
* energy above the lowest structure with this stoichiometry: 0.45 eV/f.u.
* energy of formation: 4 meV/atom
* raw total energy: -25.63 eV for the cell shown
* DOS at the Fermi energy: 3.32 states/eV per cell
* symmetry: P1
* magnetic moment: 0.00 μB/f.u.